DFT (PBE-GGA) results for a relaxed structure of BaCaPd2.

Computed properties:
The formation energy is -0.524 eV per atom. For the total magnetic moment, the calculation gives 0.00 μB/f.u.

a = 4.8937 Å, b = 4.8937 Å, c = 16.4034 Å
α = 90.00°, β = 90.00°, γ = 120.00°
Space group R-3m (No. 166, hexagonal axes)
Inequivalent atoms, fractional coordinates:
Ba: 0.0000 0.0000 0.0000 x3
Ca: 0.0000 0.0000 0.5000 x3
Pd: 0.0000 0.0000 0.2091 x6